1.
A plane-wave DFT calculation with GGA-PBE was carried out for a geometry-optimized MnReSi2 structure.

Cell lengths 4.122, 4.122, 4.122 Å; angles 60.00, 60.00, 60.00 degrees
Sites, in units of the cell vectors:
Si (0.750, 0.750, 0.750)
Mn (0.000, 0.000, 0.000)
Re (0.500, 0.500, 0.500)
Si (0.250, 0.250, 0.250)

## Properties
Polymorph energy (0 for the lowest one)   8.09 kJ/mol of atoms
Density   9.97 g/cm³
Uncorrected formation energy   -0.20 eV/atom

2.
A plane-wave DFT calculation with GGA-PBE was carried out for a geometry-optimized SmMnReSi2 structure.

Cell lengths 4.023, 4.023, 5.998 Å; angles 109.59, 109.59, 90.00 degrees
Sites, in units of the cell vectors:
Si (0.381, 0.381, 0.762)
Si (0.619, 0.619, 0.238)
Mn (0.250, 0.750, 0.500)
Re (0.750, 0.250, 0.500)
Sm (0.000, 0.000, 0.000)

## Properties
Density   8.70 g/cm³
Uncorrected formation energy   -0.55 eV/atom

3.
A plane-wave DFT calculation with GGA-PBE was carried out for a geometry-optimized TbMnReSi2 structure.

Cell lengths 3.992, 3.992, 5.953 Å; angles 109.59, 109.59, 90.00 degrees
Sites, in units of the cell vectors:
Si (0.617, 0.617, 0.235)
Tb (0.000, 0.000, 0.000)
Re (0.750, 0.250, 0.500)
Mn (0.250, 0.750, 0.500)
Si (0.383, 0.383, 0.765)

## Properties
Density   9.07 g/cm³
Uncorrected formation energy   -0.57 eV/atom

4.
A plane-wave DFT calculation with GGA-PBE was carried out for a geometry-optimized ThMnReSi2 structure.

Cell lengths 4.100, 4.100, 5.963 Å; angles 110.11, 110.11, 90.00 degrees
Sites, in units of the cell vectors:
Si (0.622, 0.622, 0.245)
Mn (0.250, 0.750, 0.500)
Si (0.378, 0.378, 0.755)
Re (0.750, 0.250, 0.500)
Th (0.000, 0.000, 0.000)

## Properties
Density   10.04 g/cm³
Uncorrected formation energy   -0.58 eV/atom

5.
A plane-wave DFT calculation with GGA-PBE was carried out for a geometry-optimized ThMnReSi3 structure.

Cell lengths 5.654, 7.386, 6.478 Å; angles 124.76, 90.00, 90.00 degrees
Sites, in units of the cell vectors:
Si (0.500, 0.760, 0.000)
Re (0.250, 0.452, 0.903)
Mn (0.750, 0.962, 0.923)
Mn (0.250, 0.038, 0.077)
Th (0.250, 0.759, 0.518)
Re (0.750, 0.548, 0.097)
Si (0.250, 0.238, 0.477)
Si (0.750, 0.762, 0.523)
Si (0.000, 0.240, 0.000)
Th (0.750, 0.241, 0.482)
Si (0.500, 0.240, 0.000)
Si (0.000, 0.760, 0.000)

## Properties
Density   8.33 g/cm³
Uncorrected formation energy   -0.22 eV/atom

6.
A plane-wave DFT calculation with GGA-PBE was carried out for a geometry-optimized YMnReSi2 structure.

Cell lengths 3.988, 3.988, 5.950 Å; angles 109.58, 109.58, 90.00 degrees
Sites, in units of the cell vectors:
Y (0.000, 0.000, 0.000)
Si (0.383, 0.383, 0.766)
Si (0.617, 0.617, 0.234)
Re (0.750, 0.250, 0.500)
Mn (0.250, 0.750, 0.500)

## Properties
Density   7.70 g/cm³
Uncorrected formation energy   -0.57 eV/atom

7.
A plane-wave DFT calculation with GGA-PBE was carried out for a geometry-optimized ZrMnRe2Si structure.

Cell lengths 4.427, 4.703, 4.427 Å; angles 90.00, 90.00, 90.00 degrees
Sites, in units of the cell vectors:
Si (0.500, 0.500, 0.500)
Re (0.500, 0.000, 0.000)
Zr (0.000, 0.500, 0.000)
Mn (0.000, 0.000, 0.000)
Re (0.000, 0.000, 0.500)

## Properties
Density   9.85 g/cm³
Uncorrected formation energy   1.06 eV/atom

8.
A plane-wave DFT calculation with GGA-PBE was carried out for a geometry-optimized Sm2MnRe3 structure.

Cell lengths 5.332, 5.332, 5.584 Å; angles 90.02, 118.49, 120.00 degrees
Sites, in units of the cell vectors:
Re (0.000, 0.000, 0.500)
Mn (0.000, 0.000, 0.000)
Sm (0.752, 0.376, 0.129)
Sm (0.248, 0.624, 0.871)
Re (0.500, 0.500, 0.500)
Re (0.500, 0.000, 0.500)

## Properties
Electronic total energy   -9.37 eV/atom
Density   13.23 g/cm³

- What is the density in the fifth record?
  8.33 g/cm³

- What is the density in the sixth record?
  7.70 g/cm³

- Which value of density does entry 3 give?
  9.07 g/cm³